(1)
ReAsBr | PBE | optimized geometry

a = 3.150 Å, b = 3.150 Å, c = 7.606 Å
α = 90.00°, β = 90.00°, γ = 120.00°
Fractional positions:
Re (0.333, 0.667, 0.677)
As (0.000, 0.000, 0.910)
Br (0.667, 0.333, 0.412)

Computed properties:
- DOS at the Fermi energy: 3.10 states/eV/cell
- Formation energy from raw total energies: 0.333 eV per atom
- Calculated density: 8.66 g/cm³
- E above lowest polymorph: 0 meV per atom

=====

(2)
Y2ZnGa6Cu | PBE | optimized geometry

a = 6.282 Å, b = 6.282 Å, c = 12.077 Å
α = 74.92°, β = 74.92°, γ = 60.00°
Fractional positions:
Ga (0.655, 0.225, 0.895)
Ga (0.225, 0.225, 0.895)
Ga (0.068, 0.668, 0.596)
Ga (0.668, 0.068, 0.596)
Ga (0.225, 0.655, 0.895)
Ga (0.332, 0.932, 0.404)
Ga (0.932, 0.332, 0.404)
Ga (0.775, 0.775, 0.105)
Ga (0.668, 0.668, 0.596)
Ga (0.332, 0.332, 0.404)
Ga (0.345, 0.775, 0.105)
Ga (0.775, 0.345, 0.105)
Zn (0.572, 0.572, 0.283)
Zn (0.428, 0.428, 0.717)
Y (0.894, 0.894, 0.318)
Y (0.716, 0.716, 0.852)
Y (0.106, 0.106, 0.682)
Y (0.284, 0.284, 0.148)
Cu (0.000, 0.000, 0.000)
Cu (0.500, 0.500, 0.500)

Computed properties:
- DOS at the Fermi energy: 9.73 states/eV/cell
- Formation enthalpy at 0 K: -24 kJ/mol of atoms
- Calculated density: 6.12 g/cm³